# 1
AgW2Cl after structural relaxation, computed with PBE.

Cell lengths 5.332, 5.332, 2.752 Å; angles 90.00, 90.00, 118.90 degrees
Element x y z (fractional)
Ag: 0.500 0.000 0.500
W: 0.000 0.000 0.000
W: 0.500 0.500 0.000
Cl: 0.000 0.500 0.500

Fermi-level density of states	3.13	states/eV per cell
formation energy without anion corrections	1.245	eV/atom
symmetry	Cmmm
E above lowest polymorph	992.5	meV per atom


# 2
Ag2WCl7 after structural relaxation, computed with PBE.

Cell lengths 10.716, 8.067, 11.544 Å; angles 75.76, 62.35, 48.38 degrees
Site moments in Bohr magnetons follow the coordinates.
Element x y z (fractional)
Cl: 0.466 0.250 0.750  0.00
Cl: 0.062 0.254 0.911  0.03
Cl: 0.830 0.132 0.267  -0.01
Cl: 0.256 0.749 0.081  0.00
Cl: 0.773 0.754 0.411  0.03
Cl: 0.085 0.751 0.419  0.00
Cl: 0.915 0.249 0.581  0.00
Cl: 0.227 0.246 0.589  0.03
Cl: 0.744 0.251 0.919  0.00
Cl: 0.170 0.868 0.733  -0.01
Cl: 0.229 0.368 0.233  -0.01
Cl: 0.771 0.632 0.767  -0.01
Cl: 0.534 0.750 0.250  0.00
Cl: 0.938 0.746 0.089  0.03
Ag: 0.785 0.999 0.604  0.00
Ag: 0.388 0.501 0.896  0.00
Ag: 0.215 0.001 0.396  0.00
Ag: 0.612 0.499 0.104  0.00
W: 0.003 0.750 0.250  0.77
W: 0.997 0.250 0.750  0.77

Fermi-level density of states	8.35	states/eV per cell
formation energy without anion corrections	-0.646	eV/atom
symmetry	C2/c


# 3
AgW2Cl after structural relaxation, computed with PBE.

Cell lengths 5.050, 3.771, 3.771 Å; angles 90.00, 90.00, 90.00 degrees
Element x y z (fractional)
W: 0.000 0.000 0.000
W: 0.000 0.500 0.500
Ag: 0.500 0.500 0.000
Cl: 0.500 0.000 0.500

Fermi-level density of states	2.86	states/eV per cell
formation energy without anion corrections	1.320	eV/atom
symmetry	P4/mmm
E above lowest polymorph	1067.4	meV per atom